A relaxed LaAl2Tc2C crystal, computed with PBE-GGA.

a b c (Å): 4.208 4.208 5.706
angles (deg): 90.00 90.00 90.00
Atoms (fractional coordinates):
La 0.000 0.000 0.000
Al 0.500 0.500 0.235
Al 0.500 0.500 0.765
Tc 0.000 0.500 0.500
Tc 0.500 0.000 0.500
C 0.000 0.000 0.500

## Properties
E_form: -225 kJ/mol of formula units
total magnetization: 0.0 Bohr magnetons per cell